Here is a geometry-optimized VCBrO2 structure from the Alexandria database. Energies are from PBE with a Hubbard U.

a = 3.6643 Å, b = 3.6643 Å, c = 5.7060 Å
α = 90.00°, β = 90.00°, γ = 90.00°
Space group P4/mmm (No. 123)
Asymmetric unit:
V  0.0000  0.0000  0.0000 x1
C  0.5000  0.5000  0.5000 x1
Br  0.0000  0.0000  0.5000 x1
O  0.0000  0.5000  0.0000 x2

Properties
Magnetization ... 2.00 μB/cell
D(E_F) ... 1.8 states/eV/f.u.
Final energy ... -26.70 eV per cell